# PBE-GGA ThAlZnPd2, optimized geometry
data_ThAlZnPd2
_cell_length_a 5.415
_cell_length_b 13.147
_cell_length_c 5.587
_cell_angle_alpha 90.00
_cell_angle_beta 90.00
_cell_angle_gamma 90.00
_space_group_name_H-M_alt 'C m m e'
_space_group_IT_number 67
_space_group_name_Hall '-C 2a 2'
loop_
_atom_site_label
_atom_site_fract_x
_atom_site_fract_y
_atom_site_fract_z
Th1 0.000 0.250 0.227
Al1 0.250 0.000 0.500
Zn1 0.000 0.000 0.000
Pd1 0.000 0.145 0.700
# Magnetization   0.00 μB/f.u.
# Calculated formation energy   -0.58 eV per atom
# Total energy   -5.141 eV/atom
# ρ   9.0 g cm⁻³